[1]
The following is a DFT calculation (PBE) of an optimized crystal structure of TlCuSb2Se4.

Output
- formation energy (no corrections) (eV/atom) = -0.254
- total moment (μB/cell) = 0.00
- DOS(E_F) (states/eV per cell) = 9.83

Cell and atoms, written as CIF:
```
data_TlCuSb2Se4
_cell_length_a 4.155
_cell_length_b 13.934
_cell_length_c 14.804
_cell_angle_alpha 90.00
_cell_angle_beta 90.00
_cell_angle_gamma 90.00
_symmetry_space_group_name_H-M 'C m c m'
_symmetry_Int_Tables_number 63
_symmetry_space_group_name_Hall '-C 2c 2'
loop_
_atom_site_label
_atom_site_type_symbol
_atom_site_fract_x
_atom_site_fract_y
_atom_site_fract_z
Tl1 Tl 0.000 0.109 0.250
Cu1 Cu 0.000 0.158 0.750
Sb1 Sb 0.000 0.366 0.060
Se1 Se 0.000 0.000 0.000
Se2 Se 0.000 0.265 0.611
Se3 Se 0.000 0.428 0.250
```


[2]
The following is a DFT calculation (PBE) of an optimized crystal structure of Tl2CuSbSe4.

Output
- formation energy (no corrections) (eV/atom) = -0.213
- total moment (μB/cell) = 0.00
- DOS(E_F) (states/eV per cell) = 0.80

Cell and atoms, written as CIF:
```
data_Tl2CuSbSe4
_cell_length_a 8.220
_cell_length_b 8.220
_cell_length_c 6.636
_cell_angle_alpha 90.00
_cell_angle_beta 90.00
_cell_angle_gamma 90.00
_symmetry_space_group_name_H-M 'I -4 2 m'
_symmetry_Int_Tables_number 121
_symmetry_space_group_name_Hall 'I -4 2'
loop_
_atom_site_label
_atom_site_type_symbol
_atom_site_fract_x
_atom_site_fract_y
_atom_site_fract_z
Tl1 Tl 0.000 0.500 0.000
Cu1 Cu 0.000 0.000 0.000
Sb1 Sb 0.000 0.000 0.500
Se1 Se 0.165 0.165 0.753
```


[3]
The following is a DFT calculation (PBE) of an optimized crystal structure of Tl3CuSb3Se8.

Output
- formation energy (no corrections) (eV/atom) = -0.225
- total moment (μB/cell) = 0.00
- DOS(E_F) (states/eV per cell) = 16.93

Cell and atoms, written as CIF:
```
data_Tl3CuSb3Se8
_cell_length_a 14.303
_cell_length_b 7.898
_cell_length_c 9.134
_cell_angle_alpha 90.00
_cell_angle_beta 121.52
_cell_angle_gamma 90.00
_symmetry_space_group_name_H-M 'C 1 2/m 1'
_symmetry_Int_Tables_number 12
loop_
_symmetry_equiv_pos_as_xyz
'x,y,z'
'-x,-y,-z'
'-x,y,-z'
'x,-y,z'
'x+1/2,y+1/2,z'
'-x+1/2,-y+1/2,-z'
'-x+1/2,y+1/2,-z'
'x+1/2,-y+1/2,z'
loop_
_atom_site_label
_atom_site_type_symbol
_atom_site_fract_x
_atom_site_fract_y
_atom_site_fract_z
Tl1 Tl 0.000 0.000 0.000
Tl2 Tl 0.250 0.250 0.000
Cu1 Cu 0.000 0.000 0.500
Sb1 Sb 0.000 0.500 0.500
Sb2 Sb 0.250 0.250 0.500
Se1 Se 0.013 0.212 0.321
Se2 Se 0.210 0.500 0.250
Se3 Se 0.236 0.500 0.715
```


[4]
The following is a DFT calculation (PBE) of an optimized crystal structure of Tl4CuSb3Se8.

Output
- formation energy (no corrections) (eV/atom) = -0.270
- total moment (μB/cell) = 0.00
- DOS(E_F) (states/eV per cell) = 35.09

Cell and atoms, written as CIF:
```
data_Tl4CuSb3Se8
_cell_length_a 8.3003
_cell_length_b 8.3003
_cell_length_c 21.9946
_cell_angle_alpha 90.00
_cell_angle_beta 90.00
_cell_angle_gamma 120.00
_symmetry_space_group_name_H-M 'R -3 m'
_symmetry_Int_Tables_number 166
_symmetry_space_group_name_Hall '-R 3 2"'
loop_
_atom_site_label
_atom_site_type_symbol
_atom_site_fract_x
_atom_site_fract_y
_atom_site_fract_z
Tl1 Tl 0.0000 0.0000 0.0000
Tl2 Tl 0.0000 0.5000 0.0000
Cu1 Cu 0.0000 0.0000 0.5000
Sb1 Sb 0.0000 0.5000 0.5000
Se1 Se 0.0000 0.0000 0.2401
Se2 Se 0.0174 0.5087 0.2356
```


[5]
The following is a DFT calculation (PBE) of an optimized crystal structure of TlCuSbSe2.

Output
- formation energy (no corrections) (eV/atom) = -0.105
- total moment (μB/cell) = 0.00
- DOS(E_F) (states/eV per cell) = 3.38

Cell and atoms, written as CIF:
```
data_TlCuSbSe2
_cell_length_a 6.806
_cell_length_b 5.443
_cell_length_c 7.977
_cell_angle_alpha 90.00
_cell_angle_beta 95.06
_cell_angle_gamma 90.00
_symmetry_space_group_name_H-M 'P 1 2/c 1'
_symmetry_Int_Tables_number 13
loop_
_symmetry_equiv_pos_as_xyz
'x,y,z'
'-x,-y,-z'
'-x,y,-z+1/2'
'x,-y,z+1/2'
loop_
_atom_site_label
_atom_site_type_symbol
_atom_site_fract_x
_atom_site_fract_y
_atom_site_fract_z
Tl1 Tl 0.000 0.146 0.250
Cu1 Cu 0.500 0.000 0.000
Sb1 Sb 0.500 0.365 0.250
Se1 Se 0.265 0.298 0.928
```


[6]
The following is a DFT calculation (PBE) of an optimized crystal structure of CuSbWSe2.

Output
- formation energy (no corrections) (eV/atom) = 1.469
- total moment (μB/cell) = 4.03
- DOS(E_F) (states/eV per cell) = 1.95

Cell and atoms, written as CIF:
```
data_CuSbWSe2
_cell_length_a 5.423
_cell_length_b 5.423
_cell_length_c 4.642
_cell_angle_alpha 90.00
_cell_angle_beta 90.00
_cell_angle_gamma 90.00
_symmetry_space_group_name_H-M 'P 4/m m m'
_symmetry_Int_Tables_number 123
_symmetry_space_group_name_Hall '-P 4 2'
loop_
_atom_site_label
_atom_site_type_symbol
_atom_site_fract_x
_atom_site_fract_y
_atom_site_fract_z
Cu1 Cu 0.000 0.000 0.000
Sb1 Sb 0.000 0.000 0.500
W1 W 0.500 0.500 0.000
Se1 Se 0.000 0.500 0.500
```


- Look up the DOS(E_F) of the second one.
  0.80 states/eV per cell


- DOS(E_F) of number 3 (Tl3CuSb3Se8)?
  16.93 states/eV per cell